(1)
This record from Alexandria describes a relaxed structure of AcPr5Sm4. The functional is PBE-GGA.

Values from the calculation:
Magnetic moment: 0.00 μB per atom
ΔE_f: 0.161 eV/atom

Cell: 18.1128 3.6571 11.3079 Å, 90.00 96.51 90.00°
Last column: nearest neighbours and their distance in Å.
Space group C2/m (No. 12)
Symmetry-distinct sites (fractional):
Ac: 0.0000 0.0000 0.0000  6 Sm 3.51-3.88, 2 Ac 3.66
Pr: 0.0000 0.0000 0.5000  4 Sm 3.43, 2 Pr 3.66
Pr: 0.1376 0.5000 0.2607  2 Sm 3.32-3.64, 2 Pr 3.66
Pr: 0.1934 0.5000 0.5978  3 Sm 3.36-3.75, 4 Pr 3.66-3.67
Sm: 0.0467 0.5000 0.7545  4 Pr 3.32-3.43, 4 Sm 3.45-3.66, 2 Ac 3.51
Sm: 0.1945 0.0000 0.8879  6 Sm 3.45-3.66, 3 Pr 3.64-3.75

(2)
This record from Alexandria describes a relaxed structure of Sr2PmMg. The functional is PBE-GGA.

Values from the calculation:
Magnetic moment: 0.00 μB per atom
ΔE_f: 0.158 eV/atom

Cell: 5.7812 5.7812 4.7266 Å, 90.00 90.00 90.00°
Last column: nearest neighbours and their distance in Å.
Space group P4/mmm (No. 123)
Symmetry-distinct sites (fractional):
Sr: 0.0000 0.5000 0.0000  4 Mg 3.73, 4 Pm 3.73, 4 Sr 4.09
Pm: 0.0000 0.0000 0.5000  8 Sr 3.73, 4 Mg 4.09
Mg: 0.5000 0.5000 0.5000  8 Sr 3.73, 4 Pm 4.09

| no. | calculated volume (Å³/atom) |
| --- | --- |
| 1 | 37.2 |
| 2 | 39.5 |